Arrangement w

# NdDy5Tm2

A geometry-optimized NdDy5Tm2 structure (PBE, the Alexandria database).

Geometry as POSCAR:
```
NdDy5Tm2
1.0
7.095 0.000 0.000
0.000 14.193 0.000
0.000 0.000 5.001
Nd Dy Tm
2 10 4
Direct
0.000 0.000 0.000
0.500 0.500 0.000
0.000 0.500 0.000
0.001 0.251 0.000
0.248 0.626 0.500
0.252 0.126 0.500
0.499 0.751 0.000
0.500 0.000 0.000
0.501 0.249 0.000
0.748 0.874 0.500
0.752 0.374 0.500
0.999 0.749 0.000
0.250 0.374 0.500
0.250 0.874 0.500
0.750 0.126 0.500
0.750 0.626 0.500
```

Crystal system: orthorhombic
D(E_F) in states/eV/cell: 19.6
Symmetry: Pbam, No. 55

Arrangement x

# NdDy5Tm2

A geometry-optimized NdDy5Tm2 structure (PBE, the Alexandria database).

Geometry as POSCAR:
```
NdDy5Tm2
1.0
6.699 0.000 0.000
2.795 8.736 0.000
2.797 -0.246 8.740
Nd Dy Tm
2 10 4
Direct
0.126 0.230 0.395
0.874 0.770 0.605
0.123 0.896 0.229
0.127 0.728 0.898
0.374 0.022 0.854
0.375 0.355 0.019
0.377 0.522 0.354
0.623 0.478 0.646
0.625 0.645 0.981
0.626 0.978 0.146
0.873 0.272 0.102
0.877 0.104 0.771
0.126 0.395 0.730
0.376 0.854 0.521
0.624 0.146 0.479
0.874 0.605 0.270
```

Crystal system: triclinic
D(E_F) in states/eV/cell: 28.6
Symmetry: P-1, No. 2

It turns out arrangement x is the most stable, with the second structure 9 meV/atom higher.

Arrangement w

# Nd8Dy6Tm

A geometry-optimized Nd8Dy6Tm structure (PBE, the Alexandria database).

Geometry as POSCAR:
```
Nd8Dy6Tm
1.0
4.574 2.641 6.982
-4.574 2.641 6.982
0.000 -5.282 6.982
Nd Dy Tm
8 6 1
Direct
0.078 0.078 0.078
0.217 0.613 0.251
0.251 0.217 0.613
0.387 0.749 0.783
0.613 0.251 0.217
0.749 0.783 0.387
0.783 0.387 0.749
0.922 0.922 0.922
0.040 0.597 0.746
0.254 0.960 0.403
0.403 0.254 0.960
0.597 0.746 0.040
0.746 0.040 0.597
0.960 0.403 0.254
0.500 0.500 0.500
```

Crystal system: trigonal
D(E_F) in states/eV/cell: 22.8
Symmetry: R-3, No. 148

Arrangement x

# Nd8Dy6Tm

A geometry-optimized Nd8Dy6Tm structure (PBE, the Alexandria database).

Geometry as POSCAR:
```
Nd8Dy6Tm
1.0
4.934 2.849 5.975
-4.934 2.849 5.975
0.000 -5.697 5.975
Nd Dy Tm
8 6 1
Direct
0.087 0.087 0.087
0.146 0.274 0.567
0.274 0.567 0.146
0.433 0.854 0.726
0.567 0.146 0.274
0.726 0.433 0.854
0.854 0.726 0.433
0.913 0.913 0.913
0.112 0.574 0.785
0.215 0.888 0.426
0.426 0.215 0.888
0.574 0.785 0.112
0.785 0.112 0.574
0.888 0.426 0.215
0.500 0.500 0.500
```

Crystal system: trigonal
D(E_F) in states/eV/cell: 22.5
Symmetry: R-3, No. 148

It turns out arrangement w is the most stable, with the second structure 48 meV/atom higher.

Arrangement w

# Nd5Dy4Tm2

A geometry-optimized Nd5Dy4Tm2 structure (PBE, the Alexandria database).

Geometry as POSCAR:
```
Nd5Dy4Tm2
1.0
8.831 -1.776 0.000
8.831 1.776 0.000
-0.806 0.000 11.606
Nd Dy Tm
5 4 2
Direct
0.000 0.000 0.000
0.323 0.323 0.929
0.402 0.402 0.464
0.598 0.598 0.536
0.677 0.677 0.071
0.141 0.141 0.794
0.463 0.463 0.739
0.537 0.537 0.261
0.859 0.859 0.206
0.215 0.215 0.353
0.785 0.785 0.647
```

Crystal system: monoclinic
D(E_F) in states/eV/cell: 15.1
Symmetry: C2/m, No. 12

Arrangement x

# Nd5Dy4Tm2

A geometry-optimized Nd5Dy4Tm2 structure (PBE, the Alexandria database).

Geometry as POSCAR:
```
Nd5Dy4Tm2
1.0
-1.761 4.574 11.784
1.761 -4.574 11.784
1.761 4.574 -11.784
Nd Dy Tm
5 4 2
Direct
0.000 0.000 0.000
0.054 0.352 0.702
0.349 0.648 0.702
0.651 0.352 0.298
0.946 0.648 0.298
0.312 0.500 0.812
0.403 0.903 0.500
0.597 0.097 0.500
0.688 0.500 0.188
0.270 0.770 0.500
0.730 0.230 0.500
```

Crystal system: orthorhombic
D(E_F) in states/eV/cell: 18.0
Symmetry: Immm, No. 71

It turns out arrangement w is the most stable, with the second structure 134 meV/atom higher.